[1]
! SrCuP (GGA-PBE, optimized geometry); values from VASP
&SYSTEM
  ibrav = 0, nat = 6, ntyp = 3
/
ATOMIC_SPECIES
P 30.97 P.upf
Sr 87.62 Sr.upf
Cu 63.55 Cu.upf
CELL_PARAMETERS angstrom
-2.656 -3.490 0.417
6.005 -4.034 -0.189
-4.018 0.539 4.522
ATOMIC_POSITIONS angstrom
P 0.815 -6.756 2.954
P 0.696 -4.565 2.825
Sr 1.091 -2.169 0.514
Sr 2.764 -5.930 0.628
Cu -1.051 -3.119 2.860
Cu -3.443 -4.172 3.105
! DOS at the Fermi energy, states/eV/cell: 0.90
! Formation energy, eV per atom: -0.507

=====

[2]
! Zr2IrPb (GGA-PBE, optimized geometry); values from VASP
&SYSTEM
  ibrav = 0, nat = 4, ntyp = 3
/
ATOMIC_SPECIES
Pb 207.20 Pb.upf
Zr 91.22 Zr.upf
Ir 192.22 Ir.upf
CELL_PARAMETERS angstrom
6.908 0.010 0.030
-2.712 4.370 -0.006
1.485 0.933 2.710
ATOMIC_POSITIONS angstrom
Pb 2.098 2.190 0.012
Zr 4.197 0.472 1.370
Zr 0.000 0.000 0.000
Ir -0.613 2.651 1.352
! DOS at the Fermi energy, states/eV/cell: 2.84
! Formation energy, eV per atom: -0.280